No. 1
Here is a PBEsol-optimized structure of GaP3O9 from Alexandria via LeMat-Bulk. Energies are from meta-GGA SCAN.

Output
* raw total energy: -10.32 eV per atom
* magnetization: 0.00 μB per atom

a = 13.055 Å, b = 19.016 Å, c = 9.363 Å
α = 90.00°, β = 126.76°, γ = 90.00°
Space group Cc (No. 9)
Symmetry-distinct sites (fractional):
Ga (0.000, 0.079, 0.000) [4 per cell]
Ga (0.019, 0.244, 0.532) [4 per cell]
Ga (0.498, 0.089, 0.496) [4 per cell]
P (0.133, 0.031, 0.819) [4 per cell]
P (0.146, 0.301, 0.345) [4 per cell]
P (0.149, 0.362, 0.842) [4 per cell]
P (0.235, 0.482, 0.726) [4 per cell]
P (0.249, 0.184, 0.246) [4 per cell]
P (0.274, 0.147, 0.788) [4 per cell]
P (0.358, 0.027, 0.663) [4 per cell]
P (0.372, 0.364, 0.690) [4 per cell]
P (0.374, 0.305, 0.196) [4 per cell]
O (0.022, 0.052, 0.818) [4 per cell]
O (0.041, 0.361, 0.857) [4 per cell]
O (0.044, 0.290, 0.369) [4 per cell]
O (0.099, 0.001, 0.648) [4 per cell]
O (0.124, 0.357, 0.217) [4 per cell]
O (0.134, 0.476, 0.067) [4 per cell]
O (0.142, 0.311, 0.715) [4 per cell]
O (0.160, 0.178, 0.620) [4 per cell]
O (0.162, 0.131, 0.110) [4 per cell]
O (0.166, 0.228, 0.285) [4 per cell]
O (0.166, 0.439, 0.791) [4 per cell]
O (0.219, 0.024, 0.477) [4 per cell]
O (0.232, 0.094, 0.877) [4 per cell]
O (0.275, 0.426, 0.642) [4 per cell]
O (0.282, 0.355, 0.033) [4 per cell]
O (0.283, 0.310, 0.532) [4 per cell]
O (0.285, 0.238, 0.149) [4 per cell]
O (0.347, 0.481, 0.384) [4 per cell]
O (0.349, 0.100, 0.737) [4 per cell]
O (0.368, 0.160, 0.421) [4 per cell]
O (0.370, 0.195, 0.936) [4 per cell]
O (0.375, 0.031, 0.283) [4 per cell]
O (0.403, 0.338, 0.363) [4 per cell]
O (0.413, 0.331, 0.861) [4 per cell]
O (0.456, 0.035, 0.630) [4 per cell]
O (0.476, 0.390, 0.678) [4 per cell]
O (0.487, 0.288, 0.199) [4 per cell]



No. 2
Here is a PBEsol-optimized structure of CoReI2 from Alexandria via LeMat-Bulk. Energies are from meta-GGA SCAN.

Output
* magnetization: 0.40 μB per atom
* energy above the lowest structure with this stoichiometry: 0.149 eV/atom

a = 6.613 Å, b = 6.613 Å, c = 6.613 Å
α = 90.00°, β = 90.00°, γ = 90.00°
Space group Fm-3m (No. 225)
Symmetry-distinct sites (fractional):
Co (0.000, 0.000, 0.000) [4 per cell]
Re (0.000, 0.000, 0.500) [4 per cell]
I (0.250, 0.250, 0.250) [8 per cell]



No. 3
Here is a PBEsol-optimized structure of Ta2SiAg from Alexandria via LeMat-Bulk. Energies are from meta-GGA SCAN.

Output
* raw total energy: -43.55 eV per atom
* magnetization: 0.00 μB per atom

a = 3.952 Å, b = 3.952 Å, c = 4.125 Å
α = 90.00°, β = 90.00°, γ = 90.00°
Space group P4/mmm (No. 123)
Symmetry-distinct sites (fractional):
Ta (0.000, 0.500, 0.000) [2 per cell]
Si (0.000, 0.000, 0.500) [1 per cell]
Ag (0.500, 0.500, 0.500) [1 per cell]



No. 4
Here is a PBEsol-optimized structure of KYBi2Os from Alexandria via LeMat-Bulk. Energies are from meta-GGA SCAN.

Output
* magnetization: 0.72 μB per atom
* formation enthalpy at 0 K: 1534 meV/atom

a = 5.694 Å, b = 5.694 Å, c = 6.031 Å
α = 90.00°, β = 90.00°, γ = 90.00°
Space group P4/mmm (No. 123)
Symmetry-distinct sites (fractional):
K (0.000, 0.000, 0.000) [1 per cell]
Y (0.000, 0.000, 0.500) [1 per cell]
Bi (0.000, 0.500, 0.500) [2 per cell]
Os (0.500, 0.500, 0.000) [1 per cell]



No. 5
Here is a PBEsol-optimized structure of LiWF2 from Alexandria via LeMat-Bulk. Energies are from meta-GGA SCAN.

Output
* magnetization: 0.00 μB per atom
* energy above the lowest structure with this stoichiometry: 0.000 eV/atom

a = 2.7489 Å, b = 2.7489 Å, c = 19.0006 Å
α = 90.00°, β = 90.00°, γ = 120.00°
Space group R-3m (No. 166, hexagonal axes)
Symmetry-distinct sites (fractional):
Li (0.0000, 0.0000, 0.0000) [3 per cell]
W (0.0000, 0.0000, 0.5000) [3 per cell]
F (0.0000, 0.0000, 0.3918) [6 per cell]



No. 6
Here is a PBEsol-optimized structure of K3Sn2S3ClO12 from Alexandria via LeMat-Bulk. Energies are from meta-GGA SCAN.

Output
* raw total energy: -11.74 eV per atom
* magnetization: 0.00 μB per atom

a = 10.050 Å, b = 7.478 Å, c = 10.164 Å
α = 90.00°, β = 119.27°, γ = 90.00°
Space group P2_1 (No. 4)
Symmetry-distinct sites (fractional):
K (0.008, 0.000, 0.247) [2 per cell]
K (0.318, 0.256, 0.667) [2 per cell]
K (0.325, 0.768, 0.660) [2 per cell]
Sn (0.240, 0.470, 0.252) [2 per cell]
Sn (0.265, 0.974, 0.010) [2 per cell]
S (0.042, 0.505, 0.396) [2 per cell]
S (0.391, 0.525, 0.978) [2 per cell]
S (0.408, 0.021, 0.376) [2 per cell]
Cl (0.001, 0.279, 0.018) [2 per cell]
O (0.096, 0.662, 0.345) [2 per cell]
O (0.097, 0.513, 0.560) [2 per cell]
O (0.115, 0.344, 0.364) [2 per cell]
O (0.126, 0.989, 0.689) [2 per cell]
O (0.281, 0.376, 0.931) [2 per cell]
O (0.304, 0.700, 0.936) [2 per cell]
O (0.330, 0.008, 0.465) [2 per cell]
O (0.354, 0.876, 0.258) [2 per cell]
O (0.373, 0.196, 0.292) [2 per cell]
O (0.423, 0.505, 0.529) [2 per cell]
O (0.473, 0.516, 0.886) [2 per cell]
O (0.498, 0.021, 0.861) [2 per cell]



No. 7
Here is a PBEsol-optimized structure of SrScIn2 from Alexandria via LeMat-Bulk. Energies are from meta-GGA SCAN.

Output
* magnetization: 0.00 μB per atom
* formation enthalpy at 0 K: -347 meV/atom

a = 9.621 Å, b = 3.531 Å, c = 6.898 Å
α = 90.00°, β = 99.88°, γ = 90.00°
Space group C2/m (No. 12)
Symmetry-distinct sites (fractional):
Sr (0.000, 0.000, 0.000) [2 per cell]
Sc (0.000, 0.500, 0.500) [2 per cell]
In (0.244, 0.000, 0.694) [4 per cell]



No. 8
Here is a PBEsol-optimized structure of MnFe2Co from Alexandria via LeMat-Bulk. Energies are from meta-GGA SCAN.

Output
* magnetization: 2.20 μB per atom
* formation enthalpy at 0 K: -14 meV/atom

a = 2.777 Å, b = 3.937 Å, c = 7.901 Å
α = 90.00°, β = 90.00°, γ = 90.00°
Space group Immm (No. 71)
Symmetry-distinct sites (fractional):
Mn (0.000, 0.000, 0.000) [2 per cell]
Fe (0.000, 0.500, 0.250) [4 per cell]
Co (0.000, 0.000, 0.500) [2 per cell]



Question: What is the magnetization in the first record?
Answer: 0.00 μB per atom